[1]
Ca3IO6F2 after structural relaxation, computed with PBE.

E_form (uncorrected) = -2.0465 eV/atom
Space-group type = C2/m
Size of the total moment = 1.1 μB per formula unit

Cell lengths 6.6896, 6.6896, 4.9292 Å; angles 92.43, 92.43, 58.55 degrees
With the nearest neighbours (Å) after each atom.
Fractional positions:
1 Ca 0.0000 0.0000 0.0000  2 F 2.25, 4 O 2.48
2 Ca 0.0000 0.5000 0.5000  2 F 2.25, 4 O 2.31-2.44
3 Ca 0.5000 0.0000 0.5000  2 F 2.25, 4 O 2.31-2.44
4 I 0.5000 0.5000 0.5000  6 O 1.89-1.92
5 O 0.2166 0.6473 0.2827  1 I 1.92
6 O 0.3527 0.7834 0.7173  1 I 1.92
7 O 0.3656 0.3656 0.6982  1 I 1.89
8 O 0.6344 0.6344 0.3018  1 I 1.89
9 O 0.6473 0.2166 0.2827  1 I 1.92
10 O 0.7834 0.3527 0.7173  1 I 1.92
11 F 0.1689 0.1689 0.2413  3 Ca 2.25
12 F 0.8311 0.8311 0.7587  3 Ca 2.25

[2]
LiSb2Pt after structural relaxation, computed with PBE.

E_form (uncorrected) = -0.3145 eV/atom
Space-group type = Pm
Size of the total moment = 0.0 μB per formula unit
E above lowest polymorph = 224 meV per atom

Cell lengths 4.5348, 4.7152, 4.9072 Å; angles 90.00, 114.86, 90.00 degrees
With the nearest neighbours (Å) after each atom.
Fractional positions:
1 Li 0.0000 0.0000 0.0000  3 Sb 2.70-2.97, 2 Pt 2.87
2 Sb 0.5278 0.5000 0.9453  2 Pt 2.65-2.66
3 Sb 0.6366 0.0000 0.3825  2 Pt 2.68, 3 Li 2.70-2.97
4 Pt 0.8861 0.5000 0.6353  4 Sb 2.65-2.68, 2 Li 2.87

[3]
TbTlRuO6 after structural relaxation, computed with PBE.

E_form (uncorrected) = -1.3930 eV/atom
Space-group type = P312
Size of the total moment = 1.5 μB per formula unit

Cell lengths 5.5387, 5.5387, 4.6733 Å; angles 90.00, 90.00, 120.00 degrees
With the nearest neighbours (Å) after each atom.
Fractional positions:
1 Tb 0.0000 0.0000 0.0000  6 O 2.24
2 Tl 0.6667 0.3333 0.5000  6 O 2.35
3 Ru 0.3333 0.6667 0.0000  6 O 1.95
4 O 0.0467 0.3740 0.2354  1 Ru 1.95
5 O 0.0467 0.6726 0.7646  1 Ru 1.95
6 O 0.3274 0.3740 0.7646  1 Ru 1.95
7 O 0.3274 0.9533 0.2354  1 Ru 1.95
8 O 0.6260 0.6726 0.2354  1 Ru 1.95
9 O 0.6260 0.9533 0.7646  1 Ru 1.95

[4]
EuSiS2 after structural relaxation, computed with PBE.

E_form (uncorrected) = -0.4696 eV/atom
Space-group type = R-3m
Size of the total moment = 7.8 μB per formula unit

Cell lengths 8.5632, 8.5632, 8.5632 Å; angles 23.77, 23.77, 23.77 degrees
With the nearest neighbours (Å) after each atom.
Fractional positions:
1 Eu 0.0000 0.0000 0.0000  2 S 2.85
2 Si 0.5000 0.5000 0.5000  6 S 2.42
3 S 0.1142 0.1142 0.1142  3 Si 2.42
4 S 0.8858 0.8858 0.8858  3 Si 2.42

[5]
Ti4Sb after structural relaxation, computed with PBE.

E_form (uncorrected) = 0.9190 eV/atom
Space-group type = Pm-3m
Size of the total moment = 1.4 μB per formula unit
E above lowest polymorph = 1168 meV per atom

Cell lengths 4.9636, 4.9636, 4.9636 Å; angles 90.00, 90.00, 90.00 degrees
With the nearest neighbours (Å) after each atom.
Fractional positions:
1 Ti 0.0000 0.0000 0.0000  12 Ti 3.51
2 Ti 0.0000 0.5000 0.5000  2 Sb 2.48
3 Ti 0.5000 0.0000 0.5000  2 Sb 2.48
4 Ti 0.5000 0.5000 0.0000  2 Sb 2.48
5 Sb 0.5000 0.5000 0.5000  6 Ti 2.48

[6]
Ta3Ti2Mo after structural relaxation, computed with PBE.

Space-group type = C2/c
Formation enthalpy at 0 K = 0.164 eV/atom
Size of the total moment = 0.0 μB per formula unit

Cell lengths 5.2978, 5.2978, 7.8063 Å; angles 95.01, 95.01, 100.14 degrees
With the nearest neighbours (Å) after each atom.
Fractional positions:
1 Ta 0.1173 0.8827 0.7500  1 Mo 2.69, 4 Ta 2.83-2.92, 2 Ti 2.87
2 Ta 0.1787 0.3364 0.9819  2 Mo 2.62-2.70, 3 Ta 2.80-2.92, 1 Ti 2.91
3 Ta 0.3364 0.1787 0.4819  2 Mo 2.62-2.70, 3 Ta 2.80-2.92, 1 Ti 2.91
4 Ta 0.6636 0.8213 0.5181  2 Mo 2.62-2.70, 3 Ta 2.80-2.92, 1 Ti 2.91
5 Ta 0.8213 0.6636 0.0181  2 Mo 2.62-2.70, 3 Ta 2.80-2.92, 1 Ti 2.91
6 Ta 0.8827 0.1173 0.2500  1 Mo 2.69, 4 Ta 2.83-2.92, 2 Ti 2.87
7 Ti 0.1169 0.6395 0.3754  2 Ti 2.73-2.79, 5 Ta 2.87-3.03, 2 Mo 2.88-3.04
8 Ti 0.3605 0.8831 0.1246  2 Ti 2.73-2.79, 5 Ta 2.87-3.03, 2 Mo 2.88-3.04
9 Ti 0.6395 0.1169 0.8754  2 Ti 2.73-2.79, 5 Ta 2.87-3.03, 2 Mo 2.88-3.04
10 Ti 0.8831 0.3605 0.6246  2 Ti 2.73-2.79, 5 Ta 2.87-3.03, 2 Mo 2.88-3.04
11 Mo 0.4490 0.5510 0.7500  5 Ta 2.62-2.70, 2 Ti 2.88
12 Mo 0.5510 0.4490 0.2500  5 Ta 2.62-2.70, 2 Ti 2.88

[7]
TaZnPb after structural relaxation, computed with PBE.

Space-group type = P3m1
Formation enthalpy at 0 K = 0.640 eV/atom
Size of the total moment = 0.0 μB per formula unit

Cell lengths 4.8751, 4.8751, 2.8939 Å; angles 90.00, 90.00, 120.00 degrees
With the nearest neighbours (Å) after each atom.
Fractional positions:
1 Ta 0.0000 0.0000 0.0000  2 Ta 2.89, 6 Zn 3.14-3.19, 6 Pb 3.15-3.18
2 Zn 0.3333 0.6667 0.4807  3 Pb 2.82, 2 Zn 2.89, 3 Ta 3.14
3 Pb 0.6667 0.3333 0.5101  3 Zn 2.82, 2 Pb 2.89, 3 Ta 3.15

[8]
Ta2TlTc after structural relaxation, computed with PBE.

Space-group type = P2/m
Formation enthalpy at 0 K = 0.253 eV/atom
Size of the total moment = 0.0 μB per formula unit
E above lowest polymorph = 79 meV per atom

Cell lengths 3.0790, 4.0960, 5.8712 Å; angles 90.00, 96.00, 90.00 degrees
With the nearest neighbours (Å) after each atom.
Fractional positions:
1 Ta 0.0621 0.0000 0.2811  1 Ta 2.64, 2 Tc 2.70
2 Ta 0.9379 0.0000 0.7189  1 Ta 2.64, 2 Tc 2.70
3 Tl 0.5000 0.5000 0.0000  2 Tc 2.94, 8 Ta 3.03-3.05, 2 Tl 3.08
4 Tc 0.5000 0.5000 0.5000  4 Ta 2.70, 2 Tl 2.94

[9]
Dy2NbGa2Rh5 after structural relaxation, computed with PBE.

Space-group type = P4/mbm
Formation enthalpy at 0 K = -0.749 eV/atom
Size of the total moment = 0.0 μB per formula unit

Cell lengths 9.8398, 9.8398, 3.5567 Å; angles 90.00, 90.00, 90.00 degrees
With the nearest neighbours (Å) after each atom.
Fractional positions:
1 Dy 0.1724 0.3276 0.0000  3 Ga 2.81-2.97, 6 Rh 2.99-3.14
2 Dy 0.3276 0.8276 0.0000  3 Ga 2.81-2.97, 6 Rh 2.99-3.14
3 Dy 0.6724 0.1724 0.0000  3 Ga 2.81-2.97, 6 Rh 2.99-3.14
4 Dy 0.8276 0.6724 0.0000  3 Ga 2.81-2.97, 6 Rh 2.99-3.14
5 Nb 0.0000 0.0000 0.0000  8 Rh 2.74
6 Nb 0.5000 0.5000 0.0000  8 Rh 2.74
7 Ga 0.1256 0.6256 0.0000  6 Rh 2.49-2.53
8 Ga 0.3744 0.1256 0.0000  6 Rh 2.49-2.53
9 Ga 0.6256 0.8744 0.0000  6 Rh 2.49-2.53
10 Ga 0.8744 0.3744 0.0000  6 Rh 2.49-2.53
11 Rh 0.0000 0.5000 0.5000  4 Ga 2.49
12 Rh 0.0659 0.7982 0.5000  2 Ga 2.53, 2 Nb 2.74
13 Rh 0.2018 0.0659 0.5000  2 Ga 2.53, 2 Nb 2.74
14 Rh 0.2982 0.5659 0.5000  2 Ga 2.53, 2 Nb 2.74
15 Rh 0.4341 0.2982 0.5000  2 Ga 2.53, 2 Nb 2.74
16 Rh 0.5000 0.0000 0.5000  4 Ga 2.49
17 Rh 0.5659 0.7018 0.5000  2 Ga 2.53, 2 Nb 2.74
18 Rh 0.7018 0.4341 0.5000  2 Ga 2.53, 2 Nb 2.74
19 Rh 0.7982 0.9341 0.5000  2 Ga 2.53, 2 Nb 2.74
20 Rh 0.9341 0.2018 0.5000  2 Ga 2.53, 2 Nb 2.74

[10]
Pr3AsPtCl after structural relaxation, computed with PBE.

E_form (uncorrected) = -1.1751 eV/atom
Space-group type = P2_1/m
Size of the total moment = 0.0 μB per formula unit

Cell lengths 8.6155, 4.1918, 9.6084 Å; angles 90.00, 105.51, 90.00 degrees
With the nearest neighbours (Å) after each atom.
Fractional positions:
1 Pr 0.0751 0.2500 0.3423  3 Pt 2.93-2.94, 2 As 3.16
2 Pr 0.2295 0.2500 0.0084  3 Cl 2.84-3.13
3 Pr 0.4017 0.7500 0.6200  1 Cl 2.78, 2 Pt 3.01
4 Pr 0.5983 0.2500 0.3800  1 Cl 2.78, 2 Pt 3.01
5 Pr 0.7705 0.7500 0.9916  3 Cl 2.84-3.13
6 Pr 0.9249 0.7500 0.6577  3 Pt 2.93-2.94, 2 As 3.16
7 As 0.3198 0.7500 0.2756  7 Pr 3.14-3.24
8 As 0.6802 0.2500 0.7244  7 Pr 3.14-3.24
9 Pt 0.1652 0.2500 0.6584  6 Pr 2.93-3.26
10 Pt 0.8348 0.7500 0.3416  6 Pr 2.93-3.26
11 Cl 0.3934 0.7500 0.9077  3 Pr 2.78-2.84, 2 Cl 3.03
12 Cl 0.6066 0.2500 0.0923  3 Pr 2.78-2.84, 2 Cl 3.03

[11]
YTh2ScSb4 after structural relaxation, computed with PBE.

E_form (uncorrected) = -0.9703 eV/atom
Space-group type = P2/m
Size of the total moment = 0.0 μB per formula unit

Cell lengths 7.5561, 4.4199, 7.6523 Å; angles 90.00, 109.80, 90.00 degrees
With the nearest neighbours (Å) after each atom.
Fractional positions:
1 Y 0.0000 0.0000 0.0000  6 Sb 3.07-3.08
2 Th 0.5000 0.0000 0.5000  6 Sb 3.15
3 Th 0.5000 0.5000 0.0000  6 Sb 3.21
4 Sc 0.0000 0.5000 0.5000  6 Sb 3.01-3.02
5 Sb 0.2312 0.0000 0.7376  2 Sc 3.01, 1 Y 3.08, 3 Th 3.15-3.21
6 Sb 0.2357 0.5000 0.2512  1 Sc 3.02, 2 Y 3.07, 3 Th 3.15-3.21
7 Sb 0.7643 0.5000 0.7488  1 Sc 3.02, 2 Y 3.07, 3 Th 3.15-3.21
8 Sb 0.7688 0.0000 0.2624  2 Sc 3.01, 1 Y 3.08, 3 Th 3.15-3.21

[12]
TiZnN after structural relaxation, computed with PBE.

E_form (uncorrected) = -0.9061 eV/atom
Space-group type = I4/mmm
Size of the total moment = 0.0 μB per formula unit

Cell lengths 9.2901, 9.2901, 9.2901 Å; angles 161.76, 161.76, 25.91 degrees
With the nearest neighbours (Å) after each atom.
Fractional positions:
1 Ti 0.1924 0.1924 0.0000  5 N 2.07-2.08
2 Ti 0.8076 0.8076 0.0000  5 N 2.07-2.08
3 Zn 0.4315 0.4315 0.0000  1 N 2.26, 1 Zn 2.48
4 Zn 0.5685 0.5685 0.0000  1 N 2.26, 1 Zn 2.48
5 N 0.3068 0.3068 0.0000  5 Ti 2.07-2.08, 1 Zn 2.26
6 N 0.6932 0.6932 0.0000  5 Ti 2.07-2.08, 1 Zn 2.26